DFT (GGA-PBE) results for SmY3Ho3Se8 after structural relaxation.

Calculated values
E_form (uncorrected) in eV per atom: -1.83
Fermi-level density of states in states/eV/f.u.: 6.145
Symmetry: R-3m (166)

Unit cell a=8.126 b=8.126 c=8.126 alpha=59.98 beta=59.98 gamma=59.98
Sites, in units of the cell vectors:
Sm (0.000, 0.000, 0.000)
Y (0.000, 0.000, 0.500)
Y (0.000, 0.500, 0.000)
Y (0.500, 0.000, 0.000)
Ho (0.000, 0.500, 0.500)
Ho (0.500, 0.000, 0.500)
Ho (0.500, 0.500, 0.000)
Se (0.251, 0.251, 0.251)
Se (0.258, 0.258, 0.740)
Se (0.258, 0.740, 0.258)
Se (0.260, 0.742, 0.742)
Se (0.740, 0.258, 0.258)
Se (0.742, 0.260, 0.742)
Se (0.742, 0.742, 0.260)
Se (0.749, 0.749, 0.749)